A plane-wave DFT calculation with GGA-PBE was carried out for an optimized crystal structure of YAuSe2.

Lattice parameters (Å, degrees): 3.9343 3.9343 25.1632 90.00 90.00 120.00
Last column: nearest neighbours and their distance in Å.
Space group R-3m (No. 166, hexagonal axes)
Unique sites:
Y  0.0000  0.0000  0.0000 (multiplicity 3)  2 Se 2.76
Au  0.0000  0.0000  0.5000 (multiplicity 3)  6 Se 2.68
Se  0.0000  0.0000  0.1098 (multiplicity 6)  3 Au 2.68, 1 Y 2.76

Computed properties:
Magnetization ... 0.00 μB per cell
Formation energy from raw total energies ... -0.1553 eV per atom

---

A plane-wave DFT calculation with GGA-PBE was carried out for an optimized crystal structure of BaYCr3.

Lattice parameters (Å, degrees): 5.2095 5.2095 5.2095 90.00 90.00 90.00
Last column: nearest neighbours and their distance in Å.
Space group Pm-3m (No. 221)
Unique sites:
Ba  0.0000  0.0000  0.0000 (multiplicity 1)  6 Cr 2.60
Y  0.5000  0.5000  0.5000 (multiplicity 1)  12 Cr 3.68
Cr  0.0000  0.0000  0.5000 (multiplicity 3)  2 Ba 2.60

Computed properties:
Formation enthalpy at 0 K ... 1.894 eV per atom
Energy above the lowest structure with this stoichiometry ... 494.0 meV per atom
Magnetization ... 10.92 μB per cell

---

A plane-wave DFT calculation with GGA-PBE was carried out for an optimized crystal structure of UAg2PbBr8.

Lattice parameters (Å, degrees): 7.0798 7.3458 8.9242 73.36 89.82 78.30
Last column: nearest neighbours and their distance in Å.
Space group P-1 (No. 2)
Unique sites:
U  0.0000  0.0000  0.0000 (multiplicity 1)  6 Br 2.77-2.86
Ag  0.4711  0.3410  0.6826 (multiplicity 2)  4 Br 2.67-2.86
Pb  0.0000  0.0000  0.5000 (multiplicity 1)  6 Br 3.02-3.13
Br  0.0971  0.2463  0.7113 (multiplicity 2)  1 Ag 2.86, 1 U 2.86, 1 Pb 3.13
Br  0.1254  0.2134  0.1779 (multiplicity 2)  1 U 2.79, 1 Pb 3.08
Br  0.3624  0.7608  0.0297 (multiplicity 2)  1 Ag 2.67, 1 U 2.77
Br  0.3985  0.7431  0.5756 (multiplicity 2)  2 Ag 2.67-2.77

Computed properties:
Magnetization ... 2.00 μB per cell
Formation energy from raw total energies ... -0.8723 eV per atom

---

Calculated volume, record by record: 28.1, 28.3, 36.2 A^3/atom